## w
Below is crystalline CePrIrPt at its relaxed geometry, with properties calculated at the PBE level. Values from VASP.

```
&SYSTEM
  ibrav = 0, nat = 4, ntyp = 4
/
ATOMIC_SPECIES
Pt 195.08 Pt.upf
Ir 192.22 Ir.upf
Pr 140.91 Pr.upf
Ce 140.12 Ce.upf
CELL_PARAMETERS angstrom
3.906 0.000 0.000
0.000 4.208 0.000
-1.953 0.000 5.759
ATOMIC_POSITIONS crystal
Pt 0.584 0.500 0.167
Ir 0.403 0.000 0.806
Pr 0.144 0.000 0.289
Ce 0.869 0.500 0.738
```

---

## x
Below is crystalline CePrIrPt at its relaxed geometry, with properties calculated at the PBE level. Values from VASP.

```
&SYSTEM
  ibrav = 0, nat = 4, ntyp = 4
/
ATOMIC_SPECIES
Pt 195.08 Pt.upf
Ir 192.22 Ir.upf
Ce 140.12 Ce.upf
Pr 140.91 Pr.upf
CELL_PARAMETERS angstrom
5.050 0.000 0.000
2.525 4.374 0.000
2.525 1.458 4.123
ATOMIC_POSITIONS crystal
Pt 0.750 0.750 0.750
Ir 0.250 0.250 0.250
Ce 0.000 0.000 0.000
Pr 0.500 0.500 0.500
```

---

Energies relative to the most stable structure are w 0; x 147, reported in meV/atom.

---

## w
Below is crystalline CePrIrRh at its relaxed geometry, with properties calculated at the PBE level. Values from VASP.

```
&SYSTEM
  ibrav = 0, nat = 4, ntyp = 4
/
ATOMIC_SPECIES
Ce 140.12 Ce.upf
Rh 102.91 Rh.upf
Ir 192.22 Ir.upf
Pr 140.91 Pr.upf
CELL_PARAMETERS angstrom
3.907 0.000 0.000
0.000 4.127 0.000
-1.954 0.000 5.661
ATOMIC_POSITIONS crystal
Ce 0.866 0.500 0.731
Rh 0.586 0.500 0.172
Ir 0.407 0.000 0.814
Pr 0.141 0.000 0.283
```

---

## x
Below is crystalline CePrIrRh at its relaxed geometry, with properties calculated at the PBE level. Values from VASP.

```
&SYSTEM
  ibrav = 0, nat = 4, ntyp = 4
/
ATOMIC_SPECIES
Ir 192.22 Ir.upf
Ce 140.12 Ce.upf
Rh 102.91 Rh.upf
Pr 140.91 Pr.upf
CELL_PARAMETERS angstrom
-1.379 -4.773 0.509
3.341 -3.425 1.433
-0.308 -2.039 4.549
ATOMIC_POSITIONS crystal
Ir 0.000 0.000 0.000
Ce 0.750 0.750 0.750
Rh 0.500 0.500 0.500
Pr 0.250 0.250 0.250
```

---

Energies relative to the most stable structure are w 0; x 107, reported in meV/atom.